DFT (PBE+U) results for BePt2WO after structural relaxation.

It has space group P4/mmm (No. 123), with a = 4.947 Å, b = 4.947 Å, c = 2.856 Å, α = 90.00°, β = 90.00° and γ = 90.00°. The asymmetric unit holds Be at (0.000, 0.000, 0.000), Pt at (0.000, 0.500, 0.500), W at (0.500, 0.500, 0.000) and O at (0.000, 0.000, 0.500).

The total DFT energy (no corrections) is -0.210 hartree per atom. The magnetic moment comes out at 1.06 μB per formula unit. Its density is 14.24 g/cm3.